1.
TbCrC2 | PBE | optimized geometry

Cell: 3.2124 3.2124 5.6287 Å, 73.42 73.42 60.00°
With the nearest neighbours (Å) after each atom.
Positions (direct):
C  0.2684  0.2684  0.1948  3 Cr 2.12
C  0.7316  0.7316  0.8052  3 Cr 2.12
Tb  0.5000  0.5000  0.5000  6 C 2.46
Cr  0.0000  0.0000  0.0000  6 C 2.12

Summary:
DFT total energy: -8.0318 eV/atom
M_tot: 1.1 μB/f.u.
Crystal system: trigonal

2.
Tb5Cr2C6 | PBE | optimized geometry

Cell: 3.4103 9.8485 11.6099 Å, 90.00 90.00 90.00°
With the nearest neighbours (Å) after each atom.
Positions (direct):
Cr  0.0000  0.1697  0.7781  4 C 1.86-2.00
Cr  0.0000  0.6697  0.7219  4 C 1.86-2.00
Cr  0.0000  0.8303  0.2219  4 C 1.86-2.00
Cr  0.0000  0.3303  0.2781  4 C 1.86-2.00
C  0.0000  0.0201  0.8755  1 Cr 1.86
C  0.0000  0.1768  0.3913  1 Cr 2.00
C  0.0000  0.4799  0.3755  1 Cr 1.86
C  0.0000  0.6768  0.1087  1 Cr 2.00
C  0.0000  0.5201  0.6245  1 Cr 1.86
C  0.5000  0.6680  0.8051  2 Cr 1.96
C  0.5000  0.3320  0.1949  2 Cr 1.96
C  0.5000  0.8320  0.3051  2 Cr 1.96
C  0.0000  0.9799  0.1245  1 Cr 1.86
C  0.0000  0.8232  0.6087  1 Cr 2.00
C  0.5000  0.1680  0.6949  2 Cr 1.96
C  0.0000  0.3232  0.8913  1 Cr 2.00
Tb  0.5000  0.3321  0.4889  4 C 2.56-2.60
Tb  0.5000  0.6679  0.5111  4 C 2.56-2.60
Tb  0.5000  0.5829  0.2507  6 C 2.46-2.55
Tb  0.5000  0.5000  0.0000  6 C 2.74-2.80, 2 Tb 3.02
Tb  0.5000  0.0829  0.2493  6 C 2.46-2.55
Tb  0.5000  0.8321  0.0111  4 C 2.56-2.60
Tb  0.5000  0.1679  0.9889  4 C 2.56-2.60
Tb  0.5000  0.4171  0.7493  6 C 2.46-2.55
Tb  0.5000  0.9171  0.7507  6 C 2.46-2.55
Tb  0.5000  0.0000  0.5000  6 C 2.74-2.80, 2 Tb 3.02

Summary:
DFT total energy: -7.5405 eV/atom
M_tot: 0.0 μB/f.u.
Crystal system: orthorhombic

3.
TbCrC | PBE | optimized geometry

Cell: 3.4665 3.4665 4.2821 Å, 90.00 90.00 120.00°
With the nearest neighbours (Å) after each atom.
Positions (direct):
C  0.3333  0.6667  0.5002  3 Cr 2.00
Cr  0.6667  0.3333  0.5000  3 C 2.00
Tb  0.0000  0.0000  0.9999  6 C 2.93, 6 Cr 2.93

Summary:
Distance to the lowest polymorph of the same formula: 16 meV/atom
M_tot: 1.2 μB/f.u.
Crystal system: hexagonal

4.
Tb3CrC3 | PBE | optimized geometry

Cell: 5.1468 6.7503 6.7502 Å, 101.01 90.00 90.00°
With the nearest neighbours (Å) after each atom.
Positions (direct):
Tb  0.2500  0.1710  0.4084  5 C 2.49-2.78
Tb  0.7500  0.8290  0.5916  5 C 2.49-2.78
Tb  0.7500  0.8902  0.1098  5 C 2.45-2.61
Tb  0.2500  0.1098  0.8902  5 C 2.45-2.61
Tb  0.7500  0.4084  0.1710  5 C 2.49-2.78
Tb  0.2500  0.5916  0.8290  5 C 2.49-2.78
C  0.7500  0.5710  0.8217  1 Cr 1.84
C  0.2500  0.8217  0.5710  1 Cr 1.84
C  0.7500  0.1783  0.4290  1 Cr 1.84
C  0.7500  0.1253  0.8747  1 Cr 1.85
C  0.2500  0.4290  0.1783  1 Cr 1.84
C  0.2500  0.8747  0.1253  1 Cr 1.85
Cr  0.7500  0.3033  0.6967  3 C 1.84-1.85
Cr  0.2500  0.6967  0.3033  3 C 1.84-1.85

Summary:
DFT total energy: -7.6057 eV/atom
M_tot: 0.0 μB/f.u.
Crystal system: orthorhombic

5.
Tb2ThCrC4 | PBE | optimized geometry

Cell: 3.5105 6.1984 12.0585 Å, 90.00 90.00 106.45°
With the nearest neighbours (Å) after each atom.
Positions (direct):
C  0.2679  0.5358  0.1358  1 Cr 1.79
C  0.5854  0.1709  0.2500  2 Cr 2.04
C  0.7321  0.4642  0.8642  1 Cr 1.79
C  0.0000  0.0000  0.0000  4 Tb 2.42
C  0.0000  0.0000  0.5000  4 Tb 2.42
C  0.4146  0.8291  0.7500  2 Cr 2.04
C  0.2679  0.5358  0.3642  1 Cr 1.79
C  0.7321  0.4642  0.6358  1 Cr 1.79
Cr  0.1722  0.3444  0.2500  2 C 1.79
Cr  0.8278  0.6556  0.7500  2 C 1.79
Tb  0.3682  0.7364  0.9549  6 C 2.42-2.63
Tb  0.6318  0.2636  0.4549  6 C 2.42-2.63
Tb  0.3682  0.7364  0.5451  6 C 2.42-2.63
Tb  0.6318  0.2636  0.0451  6 C 2.42-2.63
Th  0.9067  0.8134  0.2500  6 C 2.76-2.77
Th  0.0933  0.1866  0.7500  6 C 2.76-2.77

Summary:
DFT total energy: -7.9921 eV/atom
M_tot: 0.0 μB/f.u.
Crystal system: orthorhombic

6.
TbTh2CrC4 | PBE | optimized geometry

Cell: 3.6099 6.2253 12.6231 Å, 90.00 90.00 106.85°
With the nearest neighbours (Å) after each atom.
Positions (direct):
C  0.6000  0.2001  0.2500  2 Cr 2.01
C  0.2711  0.5423  0.3608  1 Cr 1.81
C  0.0000  0.0000  0.0000  4 Th 2.48
C  0.2711  0.5423  0.1392  1 Cr 1.81
C  0.7289  0.4577  0.8608  1 Cr 1.81
C  0.0000  0.0000  0.5000  4 Th 2.48
C  0.7289  0.4577  0.6392  1 Cr 1.81
C  0.4000  0.7999  0.7500  2 Cr 2.01
Th  0.6339  0.2678  0.0451  6 C 2.48-2.71
Th  0.6339  0.2678  0.4549  6 C 2.48-2.71
Th  0.3661  0.7322  0.5451  6 C 2.48-2.71
Th  0.3661  0.7322  0.9549  6 C 2.48-2.71
Tb  0.8926  0.7852  0.2500  4 C 2.70
Tb  0.1074  0.2148  0.7500  4 C 2.70
Cr  0.8255  0.6511  0.7500  4 C 1.81-2.01
Cr  0.1745  0.3489  0.2500  4 C 1.81-2.01

Summary:
DFT total energy: -8.2748 eV/atom
M_tot: 0.2 μB/f.u.
Crystal system: orthorhombic

7.
Tb2ThCr2C4 | PBE | optimized geometry

Cell: 3.4656 6.8608 6.1653 Å, 111.02 90.00 104.63°
With the nearest neighbours (Å) after each atom.
Positions (direct):
Th  0.0000  0.0000  0.0000  6 C 2.56-2.69
C  0.2180  0.4360  0.1854  3 Cr 1.96-2.08
C  0.7820  0.5640  0.8146  3 Cr 1.96-2.08
C  0.4577  0.9155  0.2597  1 Cr 1.90
C  0.5423  0.0845  0.7403  1 Cr 1.90
Cr  0.6822  0.3643  0.9829  4 C 1.90-2.08
Cr  0.3178  0.6357  0.0171  4 C 1.90-2.08
Tb  0.1368  0.2736  0.5493  7 C 2.66-2.95
Tb  0.8632  0.7264  0.4507  7 C 2.66-2.95

Summary:
DFT total energy: -8.1412 eV/atom
M_tot: 0.0 μB/f.u.
Crystal system: monoclinic

8.
TbTm2Cr2C4 | PBE | optimized geometry

Cell: 3.3797 6.7146 5.9433 Å, 110.72 90.00 104.58°
With the nearest neighbours (Å) after each atom.
Positions (direct):
Cr  0.6786  0.3572  0.9817  4 C 1.87-2.06
Cr  0.3214  0.6428  0.0183  4 C 1.87-2.06
Tb  0.0000  0.0000  0.0000  6 C 2.47-2.63
C  0.4616  0.9232  0.2617  1 Cr 1.87
C  0.2174  0.4349  0.1953  3 Cr 1.99-2.06
C  0.7826  0.5651  0.8047  3 Cr 1.99-2.06
C  0.5384  0.0768  0.7383  1 Cr 1.87
Tm  0.8646  0.7292  0.4563  7 C 2.60-2.83
Tm  0.1354  0.2708  0.5437  7 C 2.60-2.83

Summary:
DFT total energy: -7.8557 eV/atom
M_tot: 0.0 μB/f.u.
Crystal system: monoclinic

9.
Tb2TmCr2C4 | PBE | optimized geometry

Cell: 3.4030 6.7256 5.9592 Å, 109.19 90.00 104.65°
With the nearest neighbours (Å) after each atom.
Positions (direct):
Tm  0.0000  0.0000  0.0000  6 C 2.42-2.64
C  0.7849  0.5697  0.8126  3 Cr 2.00-2.03
C  0.4567  0.9134  0.2428  1 Cr 1.84
C  0.5433  0.0866  0.7572  1 Cr 1.84
C  0.2151  0.4303  0.1874  3 Cr 2.00-2.03
Cr  0.3206  0.6412  0.0091  4 C 1.84-2.03
Cr  0.6794  0.3588  0.9909  4 C 1.84-2.03
Tb  0.1339  0.2679  0.5413  7 C 2.64-2.93
Tb  0.8661  0.7321  0.4587  7 C 2.64-2.93

Summary:
DFT total energy: -7.9164 eV/atom
M_tot: 0.0 μB/f.u.
Crystal system: monoclinic

10.
Tb2YCr2C4 | PBE | optimized geometry

Cell: 3.4242 6.8019 5.9568 Å, 108.88 90.00 104.58°
With the nearest neighbours (Å) after each atom.
Positions (direct):
C  0.4525  0.9051  0.2441  1 Cr 1.84
C  0.5475  0.0949  0.7559  1 Cr 1.84
C  0.7845  0.5691  0.8145  3 Cr 2.00-2.03
C  0.2155  0.4309  0.1855  3 Cr 2.00-2.03
Y  0.0000  0.0000  0.0000  6 C 2.46-2.68
Tb  0.1346  0.2692  0.5440  5 C 2.61-2.70
Tb  0.8654  0.7308  0.4560  5 C 2.61-2.70
Cr  0.3197  0.6394  0.0072  4 C 1.84-2.03
Cr  0.6803  0.3606  0.9928  4 C 1.84-2.03

Summary:
DFT total energy: -8.1027 eV/atom
M_tot: 0.0 μB/f.u.
Crystal system: monoclinic

11.
TbZnCrC | PBE | optimized geometry

Cell: 3.3681 3.3681 10.7251 Å, 90.00 90.00 90.00°
With the nearest neighbours (Å) after each atom.
Positions (direct):
Cr  0.7500  0.2500  0.0000  4 C 2.13, 4 Cr 2.38
Cr  0.2500  0.7500  0.0000  4 C 2.13, 4 Cr 2.38
Zn  0.2500  0.7500  0.5000  4 Zn 2.38
Zn  0.7500  0.2500  0.5000  4 Zn 2.38
C  0.7500  0.7500  0.8779  4 Cr 2.13
C  0.2500  0.2500  0.1221  4 Cr 2.13
Tb  0.7500  0.7500  0.2361  4 C 2.68
Tb  0.2500  0.2500  0.7639  4 C 2.68

Summary:
DFT total energy: -6.3116 eV/atom
M_tot: 0.0 μB/f.u.
Crystal system: tetragonal

12.
CrTc3C | PBE | optimized geometry

Cell: 4.0199 4.0199 4.0199 Å, 90.00 90.00 90.00°
With the nearest neighbours (Å) after each atom.
Positions (direct):
Tc  0.5000  0.0000  0.0000  2 C 2.01
Tc  0.0000  0.5000  0.0000  2 C 2.01
Tc  0.0000  0.0000  0.5000  2 C 2.01
Cr  0.5000  0.5000  0.5000  12 Tc 2.84
C  0.0000  0.0000  0.0000  6 Tc 2.01

Summary:
Distance to the lowest polymorph of the same formula: 0 meV/atom
M_tot: 0.0 μB/f.u.
Crystal system: cubic

13.
CrTcC3 | PBE | optimized geometry

Cell: 3.7338 3.7338 3.7338 Å, 90.00 90.00 90.00°
With the nearest neighbours (Å) after each atom.
Positions (direct):
C  0.0000  0.5000  0.0000  2 Cr 1.87
C  0.5000  0.0000  0.0000  2 Cr 1.87
C  0.0000  0.0000  0.5000  2 Cr 1.87
Tc  0.5000  0.5000  0.5000  12 C 2.64
Cr  0.0000  0.0000  0.0000  6 C 1.87

Summary:
Distance to the lowest polymorph of the same formula: 0 meV/atom
M_tot: 0.0 μB/f.u.
Crystal system: cubic

14.
CrTcC3 | PBE | optimized geometry

Cell: 3.9474 3.9474 3.9474 Å, 90.00 90.00 90.00°
With the nearest neighbours (Å) after each atom.
Positions (direct):
C  0.0000  0.5000  0.0000  2 Tc 1.97
C  0.5000  0.0000  0.0000  2 Tc 1.97
C  0.0000  0.0000  0.5000  2 Tc 1.97
Cr  0.5000  0.5000  0.5000  12 C 2.79
Tc  0.0000  0.0000  0.0000  6 C 1.97

Summary:
Distance to the lowest polymorph of the same formula: 232 meV/atom
M_tot: 0.3 μB/f.u.
Crystal system: cubic

15.
CrTc3C | PBE | optimized geometry

Cell: 4.3824 4.3824 4.3824 Å, 90.00 90.00 90.00°
With the nearest neighbours (Å) after each atom.
Positions (direct):
Tc  0.0000  0.0000  0.5000  2 Cr 2.19
Tc  0.0000  0.5000  0.0000  2 Cr 2.19
Tc  0.5000  0.0000  0.0000  2 Cr 2.19
C  0.5000  0.5000  0.5000  12 Tc 3.10
Cr  0.0000  0.0000  0.0000  6 Tc 2.19

Summary:
Distance to the lowest polymorph of the same formula: 2290 meV/atom
M_tot: 0.0 μB/f.u.
Crystal system: cubic

16.
ThCrTcC3 | PBE | optimized geometry

Cell: 3.5720 5.9442 7.7786 Å, 113.98 90.00 90.00°
With the nearest neighbours (Å) after each atom.
Positions (direct):
C  0.2500  0.0828  0.8471  1 Cr 2.02, 2 Tc 2.17
C  0.7500  0.5057  0.1640  1 Tc 1.96, 1 Cr 2.05
C  0.7500  0.9172  0.1529  1 Cr 2.02, 2 Tc 2.17
C  0.2500  0.4943  0.8360  1 Tc 1.96, 1 Cr 2.05
C  0.7500  0.2115  0.5448  3 Cr 1.94-2.02
C  0.2500  0.7885  0.4552  3 Cr 1.94-2.02
Cr  0.7500  0.8460  0.3851  5 C 1.94-2.05
Cr  0.2500  0.1540  0.6149  5 C 1.94-2.05
Tc  0.2500  0.6918  0.1077  3 C 1.96-2.17
Tc  0.7500  0.3082  0.8923  3 C 1.96-2.17
Th  0.7500  0.7382  0.7535  5 C 2.54-2.84
Th  0.2500  0.2618  0.2465  5 C 2.54-2.84

Summary:
DFT total energy: -9.2027 eV/atom
M_tot: 0.0 μB/f.u.
Crystal system: monoclinic

17.
TiCrTc2C | PBE | optimized geometry

Cell: 4.5230 3.6651 4.5230 Å, 90.00 90.00 90.00°
With the nearest neighbours (Å) after each atom.
Positions (direct):
Cr  0.0000  0.0000  0.0000  2 C 1.83
Ti  0.5000  0.5000  0.5000  8 Tc 2.91, 4 C 3.20
C  0.0000  0.5000  0.0000  2 Cr 1.83
Tc  0.5000  0.0000  0.0000  2 Cr 2.26
Tc  0.0000  0.0000  0.5000  2 Cr 2.26

Summary:
DFT total energy: -8.3479 eV/atom
M_tot: 0.0 μB/f.u.
Crystal system: tetragonal

18.
YCr2TcC | PBE | optimized geometry

Cell: 4.0333 4.0333 4.2826 Å, 90.00 90.00 90.00°
With the nearest neighbours (Å) after each atom.
Positions (direct):
Y  0.5000  0.5000  0.5000  4 Tc 2.85, 8 Cr 2.94
Cr  0.5000  0.0000  0.0000  2 C 2.02
Cr  0.0000  0.5000  0.0000  2 C 2.02
Tc  0.0000  0.0000  0.5000  2 C 2.14
C  0.0000  0.0000  0.0000  4 Cr 2.02, 2 Tc 2.14

Summary:
DFT total energy: -8.8349 eV/atom
M_tot: 0.0 μB/f.u.
Crystal system: tetragonal

19.
Y2CrTcC | PBE | optimized geometry

Cell: 4.9705 4.9705 3.9755 Å, 90.00 90.00 90.00°
With the nearest neighbours (Å) after each atom.
Positions (direct):
Cr  0.5000  0.5000  0.5000  8 Y 3.18, 4 Tc 3.51
Y  0.0000  0.5000  0.0000  2 C 2.49
Y  0.5000  0.0000  0.0000  2 C 2.49
Tc  0.0000  0.0000  0.5000  2 C 1.99
C  0.0000  0.0000  0.0000  2 Tc 1.99

Summary:
DFT total energy: -8.3936 eV/atom
M_tot: 3.8 μB/f.u.
Crystal system: tetragonal

20.
ZrCrTc2C | PBE | optimized geometry

Cell: 4.2020 4.2020 3.9405 Å, 90.00 90.00 90.00°
With the nearest neighbours (Å) after each atom.
Positions (direct):
Cr  0.0000  0.0000  0.5000  2 C 1.97
Zr  0.5000  0.5000  0.5000  8 Tc 2.88, 4 Cr 2.97
Tc  0.5000  0.0000  0.0000  2 C 2.10
Tc  0.0000  0.5000  0.0000  2 C 2.10
C  0.0000  0.0000  0.0000  2 Cr 1.97, 4 Tc 2.10

Summary:
DFT total energy: -9.7581 eV/atom
M_tot: 2.4 μB/f.u.
Crystal system: tetragonal

21.
CrTeC2 | PBE | optimized geometry

Cell: 4.9708 4.9708 5.8815 Å, 65.00 65.00 90.00°
With the nearest neighbours (Å) after each atom.
Positions (direct):
Te  0.7500  0.2500  0.5000  4 C 2.35
Te  0.0000  0.0000  0.0000  4 C 2.35
Cr  0.5000  0.5000  0.0000  4 C 1.93
Cr  0.2500  0.7500  0.5000  4 C 1.93
C  0.5528  0.1250  0.2500  2 Cr 1.93
C  0.8750  0.8028  0.7500  2 Cr 1.93
C  0.1972  0.6250  0.2500  2 Cr 1.93
C  0.3750  0.4472  0.7500  2 Cr 1.93

Summary:
DFT total energy: -6.6134 eV/atom
M_tot: 1.4 μB/f.u.
Crystal system: tetragonal

22.
CrTeC3 | PBE | optimized geometry

Cell: 3.9398 3.9398 3.9398 Å, 90.00 90.00 90.00°
With the nearest neighbours (Å) after each atom.
Positions (direct):
Te  0.5000  0.5000  0.5000  12 C 2.79
C  0.5000  0.0000  0.0000  2 Cr 1.97
C  0.0000  0.5000  0.0000  2 Cr 1.97
C  0.0000  0.0000  0.5000  2 Cr 1.97
Cr  0.0000  0.0000  0.0000  6 C 1.97

Summary:
Distance to the lowest polymorph of the same formula: 0 meV/atom
M_tot: 0.0 μB/f.u.
Crystal system: cubic

23.
CrTeC3 | PBE | optimized geometry

Cell: 4.1076 4.1076 4.1076 Å, 90.00 90.00 90.00°
With the nearest neighbours (Å) after each atom.
Positions (direct):
Cr  0.5000  0.5000  0.5000  12 C 2.90
C  0.0000  0.0000  0.5000  2 Te 2.05
C  0.0000  0.5000  0.0000  2 Te 2.05
C  0.5000  0.0000  0.0000  2 Te 2.05
Te  0.0000  0.0000  0.0000  6 C 2.05

Summary:
Distance to the lowest polymorph of the same formula: 1269 meV/atom
M_tot: 0.5 μB/f.u.
Crystal system: cubic

24.
CrTe3C | PBE | optimized geometry

Cell: 5.0492 5.0492 5.0492 Å, 90.00 90.00 90.00°
With the nearest neighbours (Å) after each atom.
Positions (direct):
Te  0.5000  0.0000  0.0000  2 Cr 2.52
Te  0.0000  0.5000  0.0000  2 Cr 2.52
Te  0.0000  0.0000  0.5000  2 Cr 2.52
Cr  0.0000  0.0000  0.0000  6 Te 2.52
C  0.5000  0.5000  0.5000  12 Te 3.57

Summary:
DFT total energy: -3.9624 eV/atom
M_tot: 1.4 μB/f.u.
Crystal system: cubic